Below is crystalline CrOsN2O at its relaxed geometry, with properties calculated at the GGA+U level.

The raw total energy comes out at -30.7 eV/f.u. For the size of the total moment, the calculation gives 0.566 μB/atom.

a = 4.1499 Å, b = 4.1499 Å, c = 3.5790 Å
α = 90.00°, β = 90.00°, γ = 90.00°
Space group P4/mmm (No. 123)
Inequivalent atoms, fractional coordinates:
1 Cr 0.0000 0.0000 0.0000 (multiplicity 1)
2 Os 0.5000 0.5000 0.0000 (multiplicity 1)
3 N 0.0000 0.5000 0.5000 (multiplicity 2)
4 O 0.5000 0.5000 0.5000 (multiplicity 1)